Record 1
A plane-wave DFT calculation with GGA-PBE was carried out for a relaxed K2CaTlBr5 crystal.

Results
**Final energy**: -3.284 eV/atom
**Space-group type**: Cmc2_1, No. 36

abc: 9.7138 9.7138 16.8853
angles: 90.00 90.00 153.47
Closest atoms and distances in Å follow each position.
Element x y z (fractional)
K  0.0534  0.9466  0.5000  6 Br 3.26-3.42
K  0.1535  0.8465  0.1056  6 Br 3.28-3.55
K  0.8465  0.1535  0.6056  6 Br 3.28-3.55
K  0.9466  0.0534  0.0000  6 Br 3.26-3.42
Ca  0.2568  0.7432  0.8792  6 Br 2.84-3.03
Ca  0.7432  0.2568  0.3792  6 Br 2.84-3.03
Tl  0.4418  0.5582  0.2807  5 Br 3.21-3.47
Tl  0.5582  0.4418  0.7807  5 Br 3.21-3.47
Br  0.1060  0.8940  0.9081  1 Ca 2.89, 2 Tl 3.23
Br  0.2345  0.7655  0.5008  2 Ca 3.03
Br  0.2589  0.7411  0.2655  2 Ca 2.96
Br  0.4066  0.5934  0.8663  1 Ca 2.84
Br  0.4733  0.5267  0.6112  4 K 3.28, 1 Tl 3.28
Br  0.5267  0.4733  0.1112  4 K 3.28, 1 Tl 3.28
Br  0.5934  0.4066  0.3663  1 Ca 2.84
Br  0.7411  0.2589  0.7655  2 Ca 2.96
Br  0.7655  0.2345  0.0008  2 Ca 3.03
Br  0.8940  0.1060  0.4081  1 Ca 2.89, 2 Tl 3.23

Record 2
A plane-wave DFT calculation with GGA-PBE was carried out for a relaxed KCaTl2Br8 crystal.

Results
**Final energy**: -2.787 eV/atom
**Space-group type**: P-3, No. 147

abc: 7.3095 7.3095 10.1023
angles: 90.00 90.00 120.00
Closest atoms and distances in Å follow each position.
Element x y z (fractional)
K  0.0000  0.0000  0.0000  12 Br 3.97-4.22
Ca  0.0000  0.0000  0.5000  6 Br 2.91
Tl  0.3333  0.6667  0.7454  4 Br 2.67-2.77
Tl  0.6667  0.3333  0.2546  4 Br 2.67-2.77
Br  0.0310  0.7040  0.3217  1 Tl 2.77, 1 Ca 2.91
Br  0.2960  0.3270  0.3217  1 Tl 2.77, 1 Ca 2.91
Br  0.3270  0.0310  0.6783  1 Tl 2.77, 1 Ca 2.91
Br  0.3333  0.6667  0.0093  1 Tl 2.67
Br  0.6667  0.3333  0.9907  1 Tl 2.67
Br  0.6730  0.9690  0.3217  1 Tl 2.77, 1 Ca 2.91
Br  0.7040  0.6730  0.6783  1 Tl 2.77, 1 Ca 2.91
Br  0.9690  0.2960  0.6783  1 Tl 2.77, 1 Ca 2.91